BaIn2PtPb | PBE | optimized geometry

Lattice parameters (Å, degrees): 5.820 5.820 5.207 90.00 90.00 90.00
Fractional positions:
Ba1 0.000 0.000 0.000
In1 0.000 0.500 0.500
In2 0.500 0.000 0.500
Pt1 0.500 0.500 0.000
Pb1 0.500 0.500 0.500

Output
formation energy = 45 kJ/mol of formula units

Ba2InPtPb6 | PBE | optimized geometry

Lattice parameters (Å, degrees): 15.201 15.201 15.201 28.43 28.43 28.43
Fractional positions:
Ba1 0.114 0.114 0.114
Ba2 0.283 0.283 0.283
Ba3 0.717 0.717 0.717
Ba4 0.886 0.886 0.886
In1 0.426 0.426 0.426
In2 0.574 0.574 0.574
Pt1 0.000 0.000 0.000
Pt2 0.500 0.500 0.500
Pb1 0.088 0.658 0.658
Pb2 0.218 0.218 0.667
Pb3 0.218 0.667 0.218
Pb4 0.333 0.782 0.782
Pb5 0.342 0.342 0.912
Pb6 0.342 0.912 0.342
Pb7 0.658 0.088 0.658
Pb8 0.658 0.658 0.088
Pb9 0.667 0.218 0.218
Pb10 0.782 0.333 0.782
Pb11 0.782 0.782 0.333
Pb12 0.912 0.342 0.342

Output
formation energy = -215 kJ/mol of formula units

RbBa2In2Pb2 | PBE | optimized geometry

Lattice parameters (Å, degrees): 11.451 11.451 11.451 27.87 27.87 27.87
Fractional positions:
Rb1 0.000 0.000 0.000
Ba1 0.138 0.138 0.138
Ba2 0.862 0.862 0.862
In1 0.432 0.432 0.432
In2 0.568 0.568 0.568
Pb1 0.257 0.257 0.257
Pb2 0.743 0.743 0.743

Output
formation energy = -167 kJ/mol of formula units